one.
VASP calculation (PBE-GGA) on a relaxed ZnGa2H2 crystal.

It has space group P4/mbm (No. 127), with a = 6.8074 Å, b = 6.8074 Å, c = 2.6559 Å, α = 90.00°, β = 90.00° and γ = 90.00°. The distinct sites, in fractional coordinates, are Zn at (0.0000, 0.0000, 0.0000), Ga at (0.1410, 0.3590, 0.5000) and H at (0.1112, 0.6112, 0.0000).

=====

two.
VASP calculation (PBE-GGA) on a relaxed ZnGa2H2 crystal.

It has space group I4/mmm (No. 139), with a = 3.1919 Å, b = 3.1919 Å, c = 12.3748 Å, α = 90.00°, β = 90.00° and γ = 90.00°. The distinct sites, in fractional coordinates, are Zn at (0.0000, 0.0000, 0.0000), Ga at (0.0000, 0.0000, 0.3526) and H at (0.0000, 0.5000, 0.2500).

=====

Calculated relative energies: one 0.106; two 0.000, given in eV/atom

=====

one.
VASP calculation (PBE-GGA) on a relaxed Zn2GaH2 crystal.

It has space group P4/mbm (No. 127), with a = 6.7508 Å, b = 6.7508 Å, c = 2.5651 Å, α = 90.00°, β = 90.00° and γ = 90.00°. The distinct sites, in fractional coordinates, are Zn at (0.1380, 0.3620, 0.0000), Ga at (0.0000, 0.0000, 0.5000) and H at (0.1187, 0.6187, 0.5000).

=====

two.
VASP calculation (PBE-GGA) on a relaxed Zn2GaH2 crystal.

It has space group I4/mmm (No. 139), with a = 2.9082 Å, b = 2.9082 Å, c = 13.5392 Å, α = 90.00°, β = 90.00° and γ = 90.00°. The distinct sites, in fractional coordinates, are Zn at (0.0000, 0.0000, 0.1521), Ga at (0.0000, 0.0000, 0.5000) and H at (0.0000, 0.5000, 0.2500).

=====

Calculated relative energies: one 0.174; two 0.000, given in eV/atom

=====

one.
VASP calculation (PBE-GGA) on a relaxed ZnGa2H crystal.

It has space group I-42d (No. 122), with a = 4.7244 Å, b = 4.7244 Å, c = 11.7804 Å, α = 90.00°, β = 90.00° and γ = 90.00°. The distinct sites, in fractional coordinates, are Zn at (0.0000, 0.0000, 0.0000), Ga at (0.1336, 0.2500, 0.6250) and H at (0.0000, 0.0000, 0.5000).

=====

two.
VASP calculation (PBE-GGA) on a relaxed ZnGa2H crystal.

It has space group Fm-3m (No. 225), with a = 6.1759 Å, b = 6.1759 Å, c = 6.1759 Å, α = 90.00°, β = 90.00° and γ = 90.00°. The distinct sites, in fractional coordinates, are Zn at (0.0000, 0.0000, 0.0000), Ga at (0.2500, 0.2500, 0.2500) and H at (0.0000, 0.0000, 0.5000).

=====

Calculated relative energies: one 0.000; two 0.097, given in eV/atom

=====

one.
VASP calculation (PBE-GGA) on a relaxed ZnGa2H8 crystal.

It has space group C2/m (No. 12), with a = 8.2605 Å, b = 7.1152 Å, c = 4.4848 Å, α = 90.00°, β = 92.27° and γ = 90.00°. The distinct sites, in fractional coordinates, are Zn at (0.0000, 0.0000, 0.0000), Ga at (0.2288, 0.0000, 0.6482), H at (0.0906, 0.5000, 0.2530), H at (0.1230, 0.1737, 0.8029) and H at (0.1683, 0.0000, 0.3058).

=====

two.
VASP calculation (PBE-GGA) on a relaxed ZnGa2H8 crystal.

It has space group C2/c (No. 15), with a = 12.7965 Å, b = 6.6233 Å, c = 8.1183 Å, α = 90.00°, β = 128.40° and γ = 90.00°. The distinct sites, in fractional coordinates, are Zn at (0.0000, 0.0800, 0.2500), Ga at (0.0868, 0.2829, 0.6459), H at (0.0612, 0.3462, 0.9674), H at (0.1050, 0.2263, 0.4609), H at (0.1105, 0.0434, 0.7414) and H at (0.2153, 0.3981, 0.8183).

=====

Calculated relative energies: one 0.037; two 0.000, given in eV/atom